Record 1
This record from Alexandria describes a relaxed Pr5DyTm3 crystal. The functional is PBE.

## Properties
DOS(E_F) = 1.42 states/eV per atom
Energy of formation from the pure elements = 26 kJ per mole of atoms
Magnetic moment = 0.00 μB/f.u.

a b c (Å): 6.3469 10.9934 11.7570
angles (deg): 124.76 90.00 106.78
Fractional positions:
Pr 0.5322 0.7215 0.3849
Pr 0.1894 0.7215 0.8849
Pr 0.5962 0.0000 0.2500
Tm 0.9500 0.3496 0.8255
Pr 0.9928 0.6398 0.4703
Pr 0.3531 0.3602 0.0297
Pr 0.0072 0.3602 0.5297
Pr 0.6469 0.6398 0.9703
Tm 0.0000 0.0000 0.0000
Dy 0.8938 0.0000 0.7500
Tm 0.6004 0.6504 0.6745
Tm 0.0000 0.0000 0.5000
Pr 0.4678 0.2785 0.6151
Pr 0.4038 0.0000 0.7500
Tm 0.0500 0.6504 0.1745
Tm 0.3996 0.3496 0.3255
Dy 0.1062 0.0000 0.2500
Pr 0.8106 0.2785 0.1151

***

Record 2
This record from Alexandria describes a relaxed CoBiS2Cl crystal. The functional is PBE.

## Properties
DOS(E_F) = 1.16 states/eV per atom
Formation energy without anion corrections = 0.7441 eV/atom
Magnetic moment = 2.59 μB/f.u.

a b c (Å): 5.2803 5.2803 5.2357
angles (deg): 90.00 90.00 90.00
Last column: magnetic moment on the atom in μB.
Fractional positions:
Co 0.5000 0.5000 0.5000  2.27
S 0.0000 0.5000 0.0000  0.07
S 0.5000 0.0000 0.0000  0.07
Bi 0.0000 0.0000 0.0000  0.00
Cl 0.0000 0.0000 0.5000  0.00

***

Record 3
This record from Alexandria describes a relaxed Pm2Ni12As7 crystal. The functional is PBE.

## Properties
DOS(E_F) = 0.64 states/eV per atom
Energy of formation from the pure elements = -51 kJ per mole of atoms
Magnetic moment = 0.00 μB/f.u.

a b c (Å): 3.8947 9.4240 9.4240
angles (deg): 120.00 90.00 90.00
Fractional positions:
Ni 0.2284 0.7440 0.8630
Ni 0.2284 0.1190 0.2560
As 0.2549 0.7047 0.5959
Ni 0.7487 0.3758 0.9443
As 0.7451 0.2953 0.4041
Ni 0.2513 0.6242 0.0557
Ni 0.2284 0.1370 0.8810
Pm 0.7524 0.6667 0.3333
Ni 0.2513 0.9443 0.5684
Ni 0.2513 0.4316 0.3758
As 0.5000 0.0000 0.0000
Ni 0.7716 0.8810 0.7440
As 0.2549 0.8913 0.2953
Ni 0.7487 0.0557 0.4316
As 0.2549 0.4041 0.1087
Pm 0.2476 0.3333 0.6667
As 0.7451 0.5959 0.8913
Ni 0.7487 0.5684 0.6242
As 0.7451 0.1087 0.7047
Ni 0.7716 0.2560 0.1370
Ni 0.7716 0.8630 0.1190

***

Record 4
This record from Alexandria describes a relaxed BaSi3As crystal. The functional is PBE.

## Properties
DOS(E_F) = 1.22 states/eV per atom
Formation energy without anion corrections = 2.0171 eV/atom
Magnetic moment = 0.00 μB/f.u.

a b c (Å): 5.5877 5.5877 5.5877
angles (deg): 90.00 90.00 90.00
Fractional positions:
Si 0.0000 0.0000 0.5000
As 0.5000 0.5000 0.5000
Ba 0.0000 0.0000 0.0000
Si 0.5000 0.0000 0.0000
Si 0.0000 0.5000 0.0000

***

Record 5
This record from Alexandria describes a relaxed KZrW crystal. The functional is PBE.

## Properties
DOS(E_F) = 1.09 states/eV per atom
Energy of formation from the pure elements = 275 kJ per mole of atoms
Magnetic moment = 2.06 μB/f.u.

a b c (Å): 4.8089 4.8089 4.8089
angles (deg): 60.00 60.00 60.00
Last column: magnetic moment on the atom in μB.
Fractional positions:
K 0.7500 0.7500 0.7500  0.06
Zr 0.5000 0.5000 0.5000  -0.31
W 0.0000 0.0000 0.0000  1.83

***

Record 6
This record from Alexandria describes a relaxed KSmReN3 crystal. The functional is PBE.

## Properties
DOS(E_F) = 0.35 states/eV per atom
Formation energy without anion corrections = -0.5254 eV/atom
Magnetic moment = 0.00 μB/f.u.

a b c (Å): 3.9256 7.0899 7.8423
angles (deg): 104.35 90.00 106.07
Fractional positions:
N 0.1565 0.3129 0.3718
N 0.8663 0.7325 0.2101
Re 0.9958 0.9916 0.6685
N 0.1337 0.2675 0.7899
N 0.8435 0.6871 0.6282
Sm 0.6621 0.3242 0.5830
K 0.6416 0.2833 0.0691
Sm 0.3379 0.6758 0.4170
Re 0.0042 0.0084 0.3315
N 0.4901 0.9803 0.6718
N 0.5099 0.0197 0.3282
K 0.3584 0.7167 0.9309

***

Record 7
This record from Alexandria describes a relaxed Hf4TiCd crystal. The functional is PBE.

## Properties
DOS(E_F) = 1.36 states/eV per atom
Energy of formation from the pure elements = 1 kJ per mole of atoms
Magnetic moment = 0.00 μB/f.u.

a b c (Å): 3.1313 3.1313 13.0361
angles (deg): 90.00 90.00 90.00
Fractional positions:
Ti 0.0000 0.0000 0.0000
Hf 0.0000 0.0000 0.6725
Cd 0.5000 0.5000 0.5000
Hf 0.5000 0.5000 0.8400
Hf 0.0000 0.0000 0.3275
Hf 0.5000 0.5000 0.1600

***

Record 8
This record from Alexandria describes a relaxed Y4ZnPd crystal. The functional is PBE.

## Properties
DOS(E_F) = 1.51 states/eV per atom
Energy of formation from the pure elements = -22 kJ per mole of atoms
Magnetic moment = 0.00 μB/f.u.

a b c (Å): 4.9191 4.9200 7.0135
angles (deg): 89.94 89.97 90.00
Fractional positions:
Y 0.5011 0.9968 0.2506
Y 0.5015 0.9977 0.7457
Y 0.0015 0.4977 0.7457
Zn 0.5014 0.4972 0.9982
Pd 0.0013 0.9974 0.4981
Y 0.0011 0.4969 0.2506

***

Record 9
This record from Alexandria describes a relaxed PuUTi crystal. The functional is PBE.

## Properties
DOS(E_F) = 1.84 states/eV per atom
Energy of formation from the pure elements = 5 kJ per mole of atoms
Magnetic moment = 2.95 μB/f.u.

a b c (Å): 2.8493 4.7607 4.7607
angles (deg): 120.00 90.00 90.00
Last column: magnetic moment on the atom in μB.
Fractional positions:
Ti 0.6667 0.3333 0.6667  -0.33
Pu 0.1667 0.0000 0.0000  4.03
U 0.1666 0.6667 0.3333  -0.59

***

Record 10
This record from Alexandria describes a relaxed MgSc2O crystal. The functional is PBE.

## Properties
DOS(E_F) = 0.62 states/eV per atom
Formation energy without anion corrections = -1.2714 eV/atom
Magnetic moment = 0.00 μB/f.u.

a b c (Å): 6.5311 6.5311 6.0802
angles (deg): 57.51 57.51 90.00
Fractional positions:
Sc 0.2620 0.6250 0.2500
O 0.5000 0.5000 0.0000
Sc 0.3750 0.5120 0.7500
Sc 0.8750 0.7380 0.7500
Mg 0.0000 0.0000 0.0000
Mg 0.7500 0.2500 0.5000
Sc 0.4880 0.1250 0.2500
O 0.2500 0.7500 0.5000

***

Record 11
This record from Alexandria describes a relaxed TlAg2Te2 crystal. The functional is PBE.

## Properties
DOS(E_F) = 0.42 states/eV per atom
Formation energy without anion corrections = 0.1159 eV/atom
Magnetic moment = 0.00 μB/f.u.

a b c (Å): 4.6305 4.6305 7.3334
angles (deg): 71.60 71.60 90.00
Fractional positions:
Te 0.7500 0.2500 0.5000
Ag 0.6032 0.6032 0.7937
Ag 0.3968 0.3968 0.2063
Te 0.2500 0.7500 0.5000
Tl 0.0000 0.0000 0.0000

***

Record 12
This record from Alexandria describes a relaxed Mn4In crystal. The functional is PBE.

## Properties
DOS(E_F) = 1.28 states/eV per atom
Energy of formation from the pure elements = 119 kJ per mole of atoms
Magnetic moment = 16.95 μB/f.u.

a b c (Å): 5.3154 5.3154 5.3154
angles (deg): 109.47 109.47 109.47
Last column: magnetic moment on the atom in μB.
Fractional positions:
Mn 0.5000 0.0000 0.0000  3.98
Mn 0.5000 0.5000 0.5000  3.98
In 0.0000 0.0000 0.0000  -0.09
Mn 0.0000 0.0000 0.5000  3.98
Mn 0.0000 0.5000 0.0000  3.98